1.
Computed, not measured: a relaxed structure of Zr3Co at the GGA-PBE level of DFT.

The space group is Pmmn (No. 59, origin choice 2) and the conventional cell measures 4.843, 5.741 and 5.516 Å, with angles of 90.00, 90.00 and 90.00 degrees. The inequivalent atoms are Zr at (0.250, 0.001, 0.125), Zr at (0.250, 0.750, 0.592) and Co at (0.250, 0.250, 0.677).

The energy relative to the elements is 0.0873 eV per atom. Its crystal system is orthorhombic.

2.
Computed, not measured: a relaxed structure of ZrCo at the GGA-PBE level of DFT.

The space group is Pbcm (No. 57) and the conventional cell measures 5.892, 4.870 and 4.592 Å, with angles of 90.00, 90.00 and 90.00 degrees. The inequivalent atoms are Zr at (0.185, 0.025, 0.250) and Co at (0.377, 0.568, 0.250).

The energy relative to the elements is -0.0303 eV per atom. Its crystal system is orthorhombic.

3.
Computed, not measured: a relaxed structure of ZrCo at the GGA-PBE level of DFT.

The space group is Pmmn (No. 59, origin choice 2) and the conventional cell measures 4.521, 11.932 and 4.782 Å, with angles of 90.00, 90.00 and 90.00 degrees. The inequivalent atoms are Zr at (0.250, 0.073, 0.151), Zr at (0.250, 0.250, 0.686), Zr at (0.250, 0.750, 0.780), Co at (0.250, 0.003, 0.652) and Co at (0.250, 0.638, 0.264).

The energy relative to the elements is -0.0998 eV per atom. Its crystal system is orthorhombic.

4.
Computed, not measured: a relaxed structure of Zr3Co at the GGA-PBE level of DFT.

The space group is P6_3/mmc (No. 194) and the conventional cell measures 6.0324, 6.0324 and 4.9315 Å, with angles of 90.00, 90.00 and 120.00 degrees. The inequivalent atoms are Zr at (0.1750, 0.3501, 0.2500) and Co at (0.3333, 0.6667, 0.7500).

The energy relative to the elements is 0.1187 eV per atom. Its crystal system is hexagonal.

5.
Computed, not measured: a relaxed structure of ZrCo at the GGA-PBE level of DFT.

The space group is P2_1/m (No. 11) and the conventional cell measures 5.583, 4.153 and 8.594 Å, with angles of 90.00, 98.55 and 90.00 degrees. The inequivalent atoms are Zr at (0.164, 0.250, 0.053), Zr at (0.201, 0.750, 0.312), Zr at (0.320, 0.750, 0.837), Co at (0.026, 0.750, 0.586), Co at (0.284, 0.250, 0.641) and Co at (0.486, 0.250, 0.413).

The energy relative to the elements is 0.0353 eV per atom. Its crystal system is monoclinic.

6.
Computed, not measured: a relaxed structure of ZrCo at the GGA-PBE level of DFT.

The space group is F-43m (No. 216) and the conventional cell measures 5.655, 5.655 and 5.655 Å, with angles of 90.00, 90.00 and 90.00 degrees. The inequivalent atoms are Zr at (0.000, 0.000, 0.000) and Co at (0.250, 0.250, 0.250).

The energy relative to the elements is 0.8882 eV per atom. Its crystal system is cubic.

7.
Computed, not measured: a relaxed structure of ZrCo at the GGA-PBE level of DFT.

The space group is Amm2 (No. 38) and the conventional cell measures 4.327, 15.590 and 4.791 Å, with angles of 90.00, 90.00 and 90.00 degrees. The inequivalent atoms are Zr at (0.000, 0.000, 0.000), Zr at (0.000, 0.118, 0.474), Zr at (0.500, 0.122, 0.937), Co at (0.000, 0.214, 0.050), Co at (0.500, 0.000, 0.457) and Co at (0.500, 0.220, 0.365).

The energy relative to the elements is -0.0063 eV per atom. Its crystal system is orthorhombic.

8.
Computed, not measured: a relaxed structure of Zr3Co at the GGA-PBE level of DFT.

The space group is Cmcm (No. 63) and the conventional cell measures 3.261, 10.794 and 9.039 Å, with angles of 90.00, 90.00 and 90.00 degrees. The inequivalent atoms are Zr at (0.000, 0.082, 0.250), Zr at (0.000, 0.365, 0.055) and Co at (0.000, 0.225, 0.750).

The energy relative to the elements is -0.2113 eV per atom. Its crystal system is orthorhombic.

9.
Computed, not measured: a relaxed structure of ZrCo at the GGA-PBE level of DFT.

The space group is Pmmn (No. 59, origin choice 2) and the conventional cell measures 3.124, 4.969 and 4.304 Å, with angles of 90.00, 90.00 and 90.00 degrees. The inequivalent atoms are Zr at (0.250, 0.250, 0.201) and Co at (0.250, 0.750, 0.296).

The energy relative to the elements is -0.0129 eV per atom. Its crystal system is orthorhombic.

10.
Computed, not measured: a relaxed structure of ZrCo at the GGA-PBE level of DFT.

The space group is Amm2 (No. 38) and the conventional cell measures 4.090, 15.981 and 5.038 Å, with angles of 90.00, 90.00 and 90.00 degrees. The inequivalent atoms are Zr at (0.000, 0.000, 0.000), Zr at (0.000, 0.190, 0.821), Zr at (0.500, 0.158, 0.293), Co at (0.000, 0.076, 0.483), Co at (0.500, 0.000, 0.370) and Co at (0.500, 0.087, 0.793).

The energy relative to the elements is -0.1593 eV per atom. Its crystal system is orthorhombic.

11.
Computed, not measured: a relaxed structure of ZrCo at the GGA-PBE level of DFT.

The space group is P2_1/m (No. 11) and the conventional cell measures 6.878, 4.049 and 7.801 Å, with angles of 90.00, 113.29 and 90.00 degrees. The inequivalent atoms are Zr at (0.090, 0.250, 0.380), Zr at (0.164, 0.750, 0.102), Zr at (0.324, 0.250, 0.836), Co at (0.267, 0.750, 0.585), Co at (0.392, 0.250, 0.196) and Co at (0.496, 0.750, 0.416).

The energy relative to the elements is -0.1685 eV per atom. Its crystal system is monoclinic.

12.
Computed, not measured: a relaxed structure of ZrCo at the GGA-PBE level of DFT.

The space group is P2_1/m (No. 11) and the conventional cell measures 5.825, 4.165 and 8.015 Å, with angles of 90.00, 94.64 and 90.00 degrees. The inequivalent atoms are Zr at (0.053, 0.250, 0.167), Zr at (0.395, 0.750, 0.084), Zr at (0.418, 0.750, 0.641), Co at (0.118, 0.250, 0.506), Co at (0.184, 0.250, 0.820) and Co at (0.227, 0.750, 0.360).

The energy relative to the elements is -0.0855 eV per atom. Its crystal system is monoclinic.

13.
Computed, not measured: a relaxed structure of ZrCo at the GGA-PBE level of DFT.

The space group is Amm2 (No. 38) and the conventional cell measures 4.670, 5.684 and 9.862 Å, with angles of 90.00, 90.00 and 90.00 degrees. The inequivalent atoms are Zr at (0.000, 0.000, 0.000), Zr at (0.000, 0.241, 0.759), Zr at (0.500, 0.000, 0.173), Co at (0.000, 0.000, 0.506), Co at (0.500, 0.000, 0.651) and Co at (0.500, 0.218, 0.433).

The energy relative to the elements is 0.3140 eV per atom. Its crystal system is orthorhombic.

14.
Computed, not measured: a relaxed structure of ZrCo at the GGA-PBE level of DFT.

The space group is Pmmn (No. 59, origin choice 2) and the conventional cell measures 4.214, 5.631 and 10.921 Å, with angles of 90.00, 90.00 and 90.00 degrees. The inequivalent atoms are Zr at (0.250, 0.012, 0.089), Zr at (0.250, 0.250, 0.355), Zr at (0.250, 0.250, 0.760), Co at (0.250, 0.002, 0.564), Co at (0.250, 0.750, 0.385) and Co at (0.250, 0.750, 0.810).

The energy relative to the elements is 0.0086 eV per atom. Its crystal system is orthorhombic.

15.
Computed, not measured: a relaxed structure of CsCu2 at the GGA-PBE level of DFT.

The space group is Fd-3m (No. 227, origin choice 2) and the conventional cell measures 8.188, 8.188 and 8.188 Å, with angles of 90.00, 90.00 and 90.00 degrees. The inequivalent atoms are Cs at (0.125, 0.125, 0.125) and Cu at (0.000, 0.000, 0.500).

Its crystal system is cubic.

16.
Computed, not measured: a relaxed structure of CsCu8 at the GGA-PBE level of DFT.

The space group is P6/mmm (No. 191) and the conventional cell measures 7.9332, 7.9332 and 5.1250 Å, with angles of 90.00, 90.00 and 120.00 degrees. The inequivalent atoms are Cs at (0.0000, 0.0000, 0.0000), Cu at (0.1679, 0.3358, 0.5000) and Cu at (0.3333, 0.6667, 0.5000).

Its crystal system is hexagonal.

17.
Computed, not measured: a relaxed structure of CsCu2 at the GGA-PBE level of DFT.

The space group is Fd-3m (No. 227, origin choice 2) and the conventional cell measures 14.747, 14.747 and 14.747 Å, with angles of 90.00, 90.00 and 90.00 degrees. The inequivalent atoms are Cs at (0.125, 0.125, 0.125) and Cu at (0.000, 0.000, 0.000).

Its crystal system is cubic.

18.
Computed, not measured: a relaxed structure of CsDyCuS3 at the GGA-PBE level of DFT.

The space group is P2_1/m (No. 11) and the conventional cell measures 9.332, 3.991 and 9.737 Å, with angles of 90.00, 111.52 and 90.00 degrees. The inequivalent atoms are Cs at (0.213, 0.250, 0.245), Dy at (0.330, 0.750, 0.860), Cu at (0.083, 0.250, 0.609), S at (0.128, 0.250, 0.857), S at (0.173, 0.750, 0.549) and S at (0.476, 0.750, 0.156).

Its crystal system is monoclinic.

19.
Computed, not measured: a relaxed structure of CsDy2Cu3S5 at the GGA-PBE level of DFT.

The space group is Cmcm (No. 63) and the conventional cell measures 3.962, 14.073 and 16.816 Å, with angles of 90.00, 90.00 and 90.00 degrees. The inequivalent atoms are Cs at (0.000, 0.064, 0.250), Dy at (0.000, 0.192, 0.591), Cu at (0.000, 0.343, 0.250), Cu at (0.000, 0.416, 0.536), S at (0.000, 0.169, 0.069), S at (0.000, 0.231, 0.750) and S at (0.000, 0.438, 0.108).

Its crystal system is orthorhombic.

20.
Computed, not measured: a relaxed structure of CsDy2CuS4 at the GGA-PBE level of DFT.

The space group is Cmcm (No. 63) and the conventional cell measures 4.009, 14.074 and 13.831 Å, with angles of 90.00, 90.00 and 90.00 degrees. The inequivalent atoms are Cs at (0.000, 0.107, 0.250), Dy at (0.000, 0.366, 0.061), Cu at (0.000, 0.166, 0.750), S at (0.000, 0.000, 0.000), S at (0.000, 0.255, 0.605) and S at (0.000, 0.419, 0.250).

Its crystal system is orthorhombic.

21.
Computed, not measured: a relaxed structure of CsDy2CuSeS3 at the GGA-PBE level of DFT.

The space group is Cmcm (No. 63) and the conventional cell measures 4.050, 14.190 and 14.035 Å, with angles of 90.00, 90.00 and 90.00 degrees. The inequivalent atoms are Cs at (0.000, 0.113, 0.250), Dy at (0.000, 0.366, 0.058), Cu at (0.000, 0.172, 0.750), Se at (0.000, 0.424, 0.250), S at (0.000, 0.000, 0.000) and S at (0.000, 0.253, 0.604).

Its crystal system is orthorhombic.

Number 1: calculated total energy -8.100 eV/atom. Number 2: calculated total energy -7.857 eV/atom. Number 3: calculated total energy -7.927 eV/atom. Number 4: calculated total energy -8.068 eV/atom. Number 5: calculated total energy -7.791 eV/atom. Number 6: calculated total energy -6.939 eV/atom. Number 7: calculated total energy -7.833 eV/atom. Number 8: calculated total energy -8.398 eV/atom. Number 9: calculated total energy -7.840 eV/atom. Number 10: calculated total energy -7.986 eV/atom. Number 11: calculated total energy -7.995 eV/atom. Number 12: calculated total energy -7.912 eV/atom. Number 13: calculated total energy -7.513 eV/atom. Number 14: calculated total energy -7.818 eV/atom. Number 15: calculated total energy -2.131 eV/atom. Number 16: calculated total energy -2.365 eV/atom. Number 17: calculated total energy -1.128 eV/atom. Number 18: calculated total energy -4.866 eV/atom. Number 19: calculated total energy -5.050 eV/atom. Number 20: calculated total energy -5.422 eV/atom. Number 21: calculated total energy -5.296 eV/atom.